Entry 1:
Computed, not measured: an optimized crystal structure of CrBF3 at the PBE with a Hubbard U level of DFT.

D(E_F) = 3.42 states/eV per cell
calculated density = 3.0 Mg/m³
uncorrected energy = -24.94 eV for the cell shown

Cell: 4.0581 4.0581 4.0581 Å, 90.00 90.00 90.00°
Space group Pm-3m (No. 221)
Unique sites:
1 Cr 0.0000 0.0000 0.0000 (multiplicity 1)
2 B 0.5000 0.5000 0.5000 (multiplicity 1)
3 F 0.0000 0.0000 0.5000 (multiplicity 3)

***

Entry 2:
Computed, not measured: an optimized crystal structure of CrBF3 at the PBE with a Hubbard U level of DFT.

D(E_F) = 1.05 states/eV per cell
calculated density = 3.7 Mg/m³
uncorrected energy = -24.21 eV for the cell shown

Cell: 3.7854 3.7854 3.7854 Å, 90.00 90.00 90.00°
Space group Pm-3m (No. 221)
Unique sites:
1 Cr 0.0000 0.0000 0.0000 (multiplicity 1)
2 B 0.5000 0.5000 0.5000 (multiplicity 1)
3 F 0.0000 0.5000 0.5000 (multiplicity 3)

***

Entry 3:
Computed, not measured: an optimized crystal structure of CrBF5 at the PBE with a Hubbard U level of DFT.

D(E_F) = 0.00 states/eV per cell
calculated density = 2.6 Mg/m³
uncorrected energy = -170.98 eV for the cell shown

Cell: 7.4365 8.2546 7.3624 Å, 90.00 116.52 90.00°
Space group C2/c (No. 15)
Unique sites:
1 Cr 0.0000 0.0000 0.0000 (multiplicity 4)
2 B 0.0000 0.3399 0.2500 (multiplicity 4)
3 F 0.0000 0.0866 0.7500 (multiplicity 4)
4 F 0.0706 0.2383 0.1375 (multiplicity 8)
5 F 0.1590 0.4361 0.3852 (multiplicity 8)

***

Entry 4:
Computed, not measured: an optimized crystal structure of CrBF2 at the PBE with a Hubbard U level of DFT.

D(E_F) = 6.70 states/eV per cell
calculated density = 2.4 Mg/m³
uncorrected energy = -60.73 eV for the cell shown

Cell: 2.9269 2.9269 28.7115 Å, 90.00 90.00 120.00°
Space group R-3m (No. 166, hexagonal axes)
Unique sites:
1 Cr 0.0000 0.0000 0.0000 (multiplicity 3)
2 B 0.0000 0.0000 0.5000 (multiplicity 3)
3 F 0.0000 0.0000 0.4534 (multiplicity 6)

***

Entry 5:
Computed, not measured: an optimized crystal structure of CrB2F at the PBE with a Hubbard U level of DFT.

D(E_F) = 14.37 states/eV per cell
calculated density = 4.0 Mg/m³
uncorrected energy = -63.84 eV for the cell shown

Cell: 5.3714 5.3714 5.3714 Å, 90.00 90.00 90.00°
Space group Fm-3m (No. 225)
Unique sites:
1 Cr 0.0000 0.0000 0.0000 (multiplicity 4)
2 B 0.2500 0.2500 0.2500 (multiplicity 8)
3 F 0.0000 0.0000 0.5000 (multiplicity 4)

***

Entry 6:
Computed, not measured: an optimized crystal structure of Cr3BF at the PBE with a Hubbard U level of DFT.

D(E_F) = 2.80 states/eV per cell
calculated density = 3.8 Mg/m³
uncorrected energy = -29.79 eV for the cell shown

Cell: 4.3402 4.3402 4.3402 Å, 90.00 90.00 90.00°
Space group Pm-3m (No. 221)
Unique sites:
1 Cr 0.0000 0.0000 0.5000 (multiplicity 3)
2 B 0.0000 0.0000 0.0000 (multiplicity 1)
3 F 0.5000 0.5000 0.5000 (multiplicity 1)

***

Entry 7:
Computed, not measured: an optimized crystal structure of CrBF2 at the PBE with a Hubbard U level of DFT.

D(E_F) = 1.41 states/eV per cell
calculated density = 2.8 Mg/m³
uncorrected energy = -56.45 eV for the cell shown

Cell: 3.2242 3.2242 19.9913 Å, 90.00 90.00 120.00°
Space group R-3m (No. 166, hexagonal axes)
Unique sites:
1 Cr 0.0000 0.0000 0.0000 (multiplicity 3)
2 B 0.0000 0.0000 0.5000 (multiplicity 3)
3 F 0.0000 0.0000 0.0983 (multiplicity 6)

***

Entry 8:
Computed, not measured: an optimized crystal structure of CrB2F at the PBE with a Hubbard U level of DFT.

D(E_F) = 17.56 states/eV per cell
calculated density = 3.3 Mg/m³
uncorrected energy = -78.39 eV for the cell shown

Cell: 7.2734 7.2734 3.4893 Å, 90.00 90.00 90.00°
Space group I-42d (No. 122)
Unique sites:
1 Cr 0.0000 0.0000 0.0000 (multiplicity 4)
2 B 0.2304 0.2500 0.1250 (multiplicity 8)
3 F 0.0000 0.0000 0.5000 (multiplicity 4)

***

Entry 9:
Computed, not measured: an optimized crystal structure of CrBF2 at the PBE with a Hubbard U level of DFT.

D(E_F) = 19.52 states/eV per cell
calculated density = 4.1 Mg/m³
uncorrected energy = -63.82 eV for the cell shown

Cell: 5.4644 5.4644 5.4644 Å, 90.00 90.00 90.00°
Space group Fm-3m (No. 225)
Unique sites:
1 Cr 0.0000 0.0000 0.0000 (multiplicity 4)
2 B 0.0000 0.0000 0.5000 (multiplicity 4)
3 F 0.2500 0.2500 0.2500 (multiplicity 8)

***

Entry 10:
Computed, not measured: an optimized crystal structure of CrFeB2F at the PBE with a Hubbard U level of DFT.

D(E_F) = 3.74 states/eV per cell
calculated density = 4.0 Mg/m³
uncorrected energy = -22.30 eV for the cell shown

Cell: 3.9181 3.9181 4.0422 Å, 90.00 90.00 90.00°
Space group P4/mmm (No. 123)
Unique sites:
1 Cr 0.0000 0.0000 0.0000 (multiplicity 1)
2 Fe 0.5000 0.5000 0.5000 (multiplicity 1)
3 B 0.0000 0.5000 0.5000 (multiplicity 2)
4 F 0.5000 0.5000 0.0000 (multiplicity 1)

***

Entry 11:
Computed, not measured: an optimized crystal structure of CrBHF2 at the PBE with a Hubbard U level of DFT.

D(E_F) = 0.89 states/eV per cell
calculated density = 3.4 Mg/m³
uncorrected energy = -19.67 eV for the cell shown

Cell: 4.2542 4.2542 2.7459 Å, 90.00 90.00 90.00°
Space group P4/mmm (No. 123)
Unique sites:
1 Cr 0.0000 0.0000 0.0000 (multiplicity 1)
2 B 0.5000 0.5000 0.0000 (multiplicity 1)
3 H 0.5000 0.5000 0.5000 (multiplicity 1)
4 F 0.0000 0.5000 0.5000 (multiplicity 2)

***

Entry 12:
Computed, not measured: an optimized crystal structure of CrHgBF6 at the PBE with a Hubbard U level of DFT.

calculated density = 3.7 Mg/m³
uncorrected energy = -89.06 eV for the cell shown

Cell: 4.8104 8.3317 8.4922 Å, 90.00 90.20 90.00°
Space group C2 (No. 5)
Unique sites:
1 Cr 0.0000 0.0000 0.0000 (multiplicity 2)
2 Hg 0.0000 0.6673 0.5000 (multiplicity 2)
3 B 0.0000 0.3333 0.0000 (multiplicity 2)
4 F 0.1296 0.1910 0.8889 (multiplicity 4)
5 F 0.1476 0.4697 0.8889 (multiplicity 4)
6 F 0.2207 0.8394 0.8889 (multiplicity 4)

***

Copy entry 5 word for word.
Computed, not measured: an optimized crystal structure of CrB2F at the PBE with a Hubbard U level of DFT.

D(E_F) = 14.37 states/eV per cell
calculated density = 4.0 Mg/m³
uncorrected energy = -63.84 eV for the cell shown

Cell: 5.3714 5.3714 5.3714 Å, 90.00 90.00 90.00°
Space group Fm-3m (No. 225)
Unique sites:
1 Cr 0.0000 0.0000 0.0000 (multiplicity 4)
2 B 0.2500 0.2500 0.2500 (multiplicity 8)
3 F 0.0000 0.0000 0.5000 (multiplicity 4)